Record 1
First-principles (PBE-GGA) data for SmAlPb2S5 after structural relaxation, as listed in Alexandria.

```
SmAlPb2S5
1.0
3.955 0.000 0.000
-1.977 8.944 0.000
0.000 0.000 12.853
Sm Al Pb S
2 2 4 10
Cartesian
1.977 5.402 6.822 Sm
0.000 3.542 0.395 Sm
1.977 0.929 11.855 Al
0.000 8.014 5.429 Al
1.977 6.811 10.664 Pb
0.000 2.367 8.633 Pb
0.000 2.133 4.238 Pb
1.977 6.577 2.207 Pb
0.000 6.277 0.227 S
1.977 3.141 11.294 S
0.000 8.734 9.947 S
0.000 5.289 8.756 S
1.977 8.326 6.657 S
1.977 2.666 6.654 S
0.000 5.803 4.868 S
1.977 0.210 3.520 S
1.977 3.655 2.329 S
0.000 0.618 0.231 S
```

Properties
- Formation energy without anion corrections: -1.093 eV per atom
- Calculated density: 5.49 g/cm³

=====

Record 2
First-principles (PBE-GGA) data for Al3Sn2PbS8 after structural relaxation, as listed in Alexandria.

```
Al3Sn2PbS8
1.0
7.314 0.000 0.000
3.657 6.334 0.000
3.657 2.111 7.107
Al Sn Pb S
3 2 1 8
Cartesian
7.314 6.330 0.007 Al
9.139 3.169 0.007 Al
5.489 3.169 0.007 Al
3.657 2.111 4.606 Sn
7.314 4.223 3.298 Sn
10.971 6.334 2.833 Pb
3.657 2.111 1.212 S
10.971 6.334 5.930 S
5.636 3.254 5.733 S
8.992 3.254 5.733 S
7.314 6.160 5.733 S
7.314 2.275 1.381 S
5.627 5.197 1.381 S
9.001 5.197 1.381 S
```

Properties
- Formation energy without anion corrections: -0.678 eV per atom
- Calculated density: 3.94 g/cm³

=====

Record 3
First-principles (PBE-GGA) data for AlSnPb2S5 after structural relaxation, as listed in Alexandria.

```
AlSnPb2S5
1.0
-2.885 1.681 1.900
-4.277 -6.301 -4.804
1.471 -8.302 9.581
Al Sn Pb S
2 2 4 10
Cartesian
-0.672 -7.436 9.446 Al
-4.495 -8.451 0.653 Al
-4.037 -6.772 3.747 Sn
-2.304 -2.483 -1.303 Sn
-4.501 -10.078 5.968 Pb
-0.375 -6.889 5.527 Pb
-0.973 -4.074 2.129 Pb
-5.544 -4.753 -0.329 Pb
-4.035 -3.952 -2.630 S
-2.177 -8.386 8.000 S
-4.458 -11.796 3.668 S
-2.309 -8.761 4.246 S
-5.960 -8.602 2.446 S
-2.362 -4.990 4.714 S
-3.137 -6.667 1.136 S
-1.155 -1.570 3.521 S
-3.602 -2.924 1.003 S
-0.383 -0.642 -0.013 S
```

Properties
- Formation energy without anion corrections: -0.617 eV per atom
- Calculated density: 5.55 g/cm³

=====

Record 4
First-principles (PBE-GGA) data for Sr2AlPbS5 after structural relaxation, as listed in Alexandria.

```
Sr2AlPbS5
1.0
-2.515 2.144 2.161
1.163 -7.507 5.194
9.727 5.537 5.826
Sr Al Pb S
4 2 2 10
Cartesian
6.751 0.832 10.638 Sr
6.591 2.347 5.341 Sr
3.193 0.235 3.482 Sr
0.417 -2.951 7.021 Sr
7.699 5.527 7.083 Al
4.018 -3.451 8.099 Al
3.912 0.273 7.890 Pb
0.323 -2.456 2.812 Pb
0.009 -4.508 4.483 S
7.201 3.687 8.329 S
7.351 -2.112 10.650 S
6.682 0.179 7.598 S
3.672 -2.148 10.011 S
3.654 2.000 5.876 S
3.565 -2.152 6.283 S
1.323 2.456 2.710 S
0.574 -0.642 4.913 S
0.150 -0.270 0.442 S
```

Properties
- Formation energy without anion corrections: -1.315 eV per atom
- Calculated density: 4.22 g/cm³

=====

| no. | volume (Å³/atom) |
| --- | --- |
| 1 | 25.26 |
| 2 | 23.52 |
| 3 | 23.97 |
| 4 | 24.88 |